Computed, not measured: a geometry-optimized YGa2Fe structure at the PBE level of DFT.

Calculated values
* electronic total energy: -5.25 eV/atom

Cell lengths 6.5820, 6.5820, 6.5820 Å; angles 90.00, 90.00, 90.00 degrees
Space group F-43m (No. 216)
Inequivalent atoms, fractional coordinates:
Y: 0.0000 0.0000 0.0000 (multiplicity 4)
Ga: 0.0000 0.0000 0.5000 (multiplicity 4)
Ga: 0.2500 0.2500 0.2500 (multiplicity 4)
Fe: 0.2500 0.2500 0.7500 (multiplicity 4)